Entry 1:
Compound: Ac4PrSm
Source: Alexandria
Functional: GGA-PBE
Structure: optimized geometry

Properties
The value obtained for the formation energy is 0.032 eV per atom. The energy is -51.49 eV per cell. The offset from the most stable computed form comes out at 0 meV per atom. The value obtained for the mass density is 7.972 Mg/m³.

Cell: 5.565 16.247 5.526 Å, 90.00 90.00 90.00°
Space group Cmmm (No. 65)
One atom of each set of equivalent atoms:
Ac: 0.000 0.161 0.000 x4
Ac: 0.000 0.338 0.500 x4
Pr: 0.000 0.500 0.000 x2
Sm: 0.000 0.000 0.500 x2

---

Entry 2:
Compound: Ac2Pr3Sm2
Source: Alexandria
Functional: GGA-PBE
Structure: optimized geometry

Properties
The value obtained for the formation energy is 0.135 eV per atom. The energy is -31.05 eV per cell. The value obtained for the mass density is 7.361 Mg/m³.

Cell: 5.937 3.634 12.664 Å, 90.00 103.51 90.00°
Space group P2/m (No. 10)
One atom of each set of equivalent atoms:
Ac: 0.078 0.000 0.156 x2
Pr: 0.220 0.000 0.441 x2
Pr: 0.500 0.000 0.000 x1
Sm: 0.354 0.500 0.708 x2

---

Entry 3:
Compound: Ac4Pr4Sm3
Source: Alexandria
Functional: GGA-PBE
Structure: optimized geometry

Properties
The value obtained for the formation energy is 0.190 eV per atom. The energy is -95.24 eV per cell. The value obtained for the mass density is 7.323 Mg/m³.

Cell: 3.717 11.894 19.724 Å, 90.00 90.00 90.00°
Space group Immm (No. 71)
One atom of each set of equivalent atoms:
Ac: 0.000 0.000 0.198 x4
Ac: 0.000 0.230 0.500 x4
Pr: 0.000 0.229 0.324 x8
Sm: 0.000 0.000 0.000 x2
Sm: 0.000 0.500 0.100 x4

---

Entry 4:
Compound: Ac5Pr4Sm2
Source: Alexandria
Functional: GGA-PBE
Structure: optimized geometry

Properties
The value obtained for the formation energy is 0.143 eV per atom. The energy is -47.53 eV per cell. The value obtained for the mass density is 7.475 Mg/m³.

Cell: 9.421 3.723 12.669 Å, 90.00 91.95 90.00°
Space group P2/m (No. 10)
One atom of each set of equivalent atoms:
Ac: 0.000 0.000 0.000 x1
Ac: 0.197 0.000 0.527 x2
Ac: 0.283 0.000 0.817 x2
Pr: 0.076 0.500 0.267 x2
Pr: 0.462 0.500 0.355 x2
Sm: 0.351 0.000 0.117 x2

---

Entry 5:
Compound: AcPrSm5
Source: Alexandria
Functional: GGA-PBE
Structure: optimized geometry

Properties
The value obtained for the formation energy is 0.089 eV per atom. The energy is -127.45 eV per cell. The value obtained for the mass density is 7.346 Mg/m³.

Cell: 8.999 10.121 11.793 Å, 90.00 109.51 90.00°
Space group C2/c (No. 15)
One atom of each set of equivalent atoms:
Ac: 0.250 0.250 0.000 x4
Pr: 0.000 0.238 0.250 x4
Sm: 0.000 0.421 0.750 x4
Sm: 0.125 0.074 0.667 x8
Sm: 0.171 0.397 0.535 x8

---

Entry 6:
Compound: AcPr14Sm
Source: Alexandria
Functional: GGA-PBE
Structure: optimized geometry

Properties
The value obtained for the formation energy is 0.037 eV per atom. The energy is -150.30 eV per cell. The value obtained for the mass density is 6.618 Mg/m³.

Cell: 12.154 7.483 12.968 Å, 90.00 90.00 90.00°
Space group Amm2 (No. 38)
One atom of each set of equivalent atoms:
Ac: 0.000 0.000 0.000 x2
Pr: 0.000 0.249 0.750 x4
Pr: 0.248 0.000 0.333 x4
Pr: 0.251 0.249 0.584 x8
Pr: 0.253 0.000 0.833 x4
Pr: 0.500 0.000 0.000 x2
Pr: 0.500 0.000 0.499 x2
Pr: 0.500 0.249 0.250 x4
Sm: 0.000 0.000 0.501 x2

---

Entry 7:
Compound: Ac6Pr5Sm
Source: Alexandria
Functional: GGA-PBE
Structure: optimized geometry

Properties
The value obtained for the formation energy is 0.022 eV per atom. The energy is -106.00 eV per cell. The value obtained for the mass density is 7.649 Mg/m³.

Cell: 5.509 10.637 16.426 Å, 90.00 90.00 90.00°
Space group Immm (No. 71)
One atom of each set of equivalent atoms:
Ac: 0.000 0.249 0.000 x4
Ac: 0.000 0.251 0.334 x8
Pr: 0.000 0.000 0.167 x4
Pr: 0.000 0.000 0.500 x2
Pr: 0.000 0.500 0.166 x4
Sm: 0.000 0.500 0.500 x2

---

Entry 8:
Compound: AcPr8Sm6
Source: Alexandria
Functional: GGA-PBE
Structure: optimized geometry

Properties
The value obtained for the formation energy is 0.225 eV per atom. The energy is -201.84 eV per cell. The offset from the most stable computed form comes out at 81 meV per atom. The value obtained for the mass density is 6.659 Mg/m³.

Cell: 9.7488 9.7488 20.5078 Å, 90.00 90.00 120.00°
Space group R-3 (No. 148, hexagonal axes)
One atom of each set of equivalent atoms:
Ac: 0.0000 0.0000 0.0000 x3
Pr: 0.0000 0.0000 0.2380 x6
Pr: 0.9999 0.3018 0.1246 x18
Sm: 0.0005 0.2750 0.6258 x18

---

Entry 9:
Compound: Ac4Pr2Sm5
Source: Alexandria
Functional: GGA-PBE
Structure: optimized geometry

Properties
The value obtained for the formation energy is 0.144 eV per atom. The energy is -96.01 eV per cell. The value obtained for the mass density is 7.492 Mg/m³.

Cell: 17.995 5.951 8.053 Å, 90.00 93.64 90.00°
Space group C2/m (No. 12)
One atom of each set of equivalent atoms:
Ac: 0.012 0.000 0.269 x4
Ac: 0.128 0.500 0.700 x4
Pr: 0.146 0.500 0.254 x4
Sm: 0.000 0.500 0.000 x2
Sm: 0.180 0.000 0.994 x4
Sm: 0.193 0.000 0.488 x4

---

Entry 10:
Compound: AcPr4Sm5
Source: Alexandria
Functional: GGA-PBE
Structure: optimized geometry

Properties
The value obtained for the formation energy is 0.024 eV per atom. The energy is -46.58 eV per cell. The value obtained for the mass density is 7.136 Mg/m³.

Cell: 3.726 3.726 25.850 Å, 90.00 90.00 90.00°
Space group P4/mmm (No. 123)
One atom of each set of equivalent atoms:
Ac: 0.000 0.000 0.000 x1
Pr: 0.000 0.000 0.203 x2
Pr: 0.000 0.000 0.401 x2
Sm: 0.500 0.500 0.105 x2
Sm: 0.500 0.500 0.302 x2
Sm: 0.500 0.500 0.500 x1

---

Entry 11:
Compound: Ac8PrSm4
Source: Alexandria
Functional: GGA-PBE
Structure: optimized geometry

Properties
The value obtained for the formation energy is 0.395 eV per atom. The energy is -51.39 eV per cell. The value obtained for the mass density is 7.210 Mg/m³.

Cell: 8.384 8.384 8.384 Å, 90.00 90.00 90.00°
Space group Pm-3m (No. 221)
One atom of each set of equivalent atoms:
Ac: 0.240 0.240 0.240 x8
Pr: 0.500 0.500 0.500 x1
Sm: 0.000 0.000 0.000 x1
Sm: 0.000 0.500 0.500 x3

---

Entry 12:
Compound: AcPr4Sm6
Source: Alexandria
Functional: GGA-PBE
Structure: optimized geometry

Properties
The value obtained for the formation energy is 0.379 eV per atom. The energy is -94.74 eV per cell. The offset from the most stable computed form comes out at 73 meV per atom. The value obtained for the mass density is 6.686 Mg/m³.

Cell: 8.020 8.020 13.075 Å, 90.00 90.00 90.00°
Space group I-42m (No. 121)
One atom of each set of equivalent atoms:
Ac: 0.000 0.000 0.000 x2
Pr: 0.171 0.171 0.426 x8
Sm: 0.000 0.500 0.000 x4
Sm: 0.240 0.240 0.692 x8